! CdFeP2S, single point on PBEsol structure, DFT meta-GGA SCAN; values from VASP
&SYSTEM
  ibrav = 0, nat = 5, ntyp = 4
/
ATOMIC_SPECIES
Cd 112.41 Cd.upf
Fe 55.84 Fe.upf
P 30.97 P.upf
S 32.06 S.upf
CELL_PARAMETERS angstrom
4.8236 0.0000 0.0000
0.0000 4.8236 0.0000
0.0000 0.0000 4.8525
ATOMIC_POSITIONS crystal
Cd 0.0000 0.0000 0.0000
Fe 0.5000 0.5000 0.5000
P 0.0000 0.5000 0.0000
P 0.5000 0.0000 0.0000
S 0.0000 0.0000 0.5000
! Formation energy from raw total energies (eV per atom): 1.47
! Crystal system: tetragonal
! Electronic total energy (eV per atom): -14.325

***

! ZrMnRe, single point on PBEsol structure, DFT meta-GGA SCAN; values from VASP
&SYSTEM
  ibrav = 0, nat = 3, ntyp = 3
/
ATOMIC_SPECIES
Zr 91.22 Zr.upf
Mn 54.94 Mn.upf
Re 186.21 Re.upf
CELL_PARAMETERS angstrom
0.0000 3.0496 3.0496
3.0496 0.0000 3.0496
3.0496 3.0496 0.0000
ATOMIC_POSITIONS crystal
Zr 0.0000 0.0000 0.0000
Mn 0.2500 0.2500 0.2500
Re 0.7500 0.7500 0.7500
! Crystal system: cubic
! Electronic total energy (eV per atom): -38.986

***

! Li2AlTl, single point on PBEsol structure, DFT meta-GGA SCAN; values from VASP
&SYSTEM
  ibrav = 0, nat = 4, ntyp = 3
/
ATOMIC_SPECIES
Li 6.94 Li.upf
Al 26.98 Al.upf
Tl 204.38 Tl.upf
CELL_PARAMETERS angstrom
3.2817 0.0000 0.0000
0.0000 3.2817 0.0000
0.0000 0.0000 6.4942
ATOMIC_POSITIONS crystal
Li 0.0000 0.0000 0.2375
Li 0.0000 0.0000 0.7625
Al 0.5000 0.5000 0.0000
Tl 0.5000 0.5000 0.5000
! Crystal system: tetragonal
! Electronic total energy (eV per atom): -21.402

***

! BaSrMo2O6, single point on PBEsol structure, DFT meta-GGA SCAN; values from VASP
&SYSTEM
  ibrav = 0, nat = 10, ntyp = 4
/
ATOMIC_SPECIES
Ba 137.33 Ba.upf
Sr 87.62 Sr.upf
Mo 95.94 Mo.upf
O 16.00 O.upf
CELL_PARAMETERS angstrom
0.0000 3.9858 3.9858
3.9858 0.0000 3.9858
3.9858 3.9858 0.0000
ATOMIC_POSITIONS crystal
Ba 0.0000 0.0000 0.0000
Sr 0.5000 0.5000 0.5000
Mo 0.2500 0.2500 0.2500
Mo 0.7500 0.7500 0.7500
O 0.0000 0.0000 0.5000
O 0.0000 0.5000 0.0000
O 0.0000 0.5000 0.5000
O 0.5000 0.0000 0.0000
O 0.5000 0.0000 0.5000
O 0.5000 0.5000 0.0000
! Formation energy from raw total energies (eV per atom): -2.59
! Crystal system: cubic
! Electronic total energy (eV per atom): -19.484

***

! YInAu, single point on PBEsol structure, DFT meta-GGA SCAN; values from VASP
&SYSTEM
  ibrav = 0, nat = 9, ntyp = 3
/
ATOMIC_SPECIES
Y 88.91 Y.upf
In 114.82 In.upf
Au 196.97 Au.upf
CELL_PARAMETERS angstrom
7.6846 0.0000 0.0000
-3.8423 6.6550 0.0000
0.0000 0.0000 3.8918
ATOMIC_POSITIONS crystal
Y 0.0000 0.5969 0.0000
Y 0.4031 0.4031 0.0000
Y 0.5969 0.0000 0.0000
In 0.0000 0.2626 0.5000
In 0.2626 0.0000 0.5000
In 0.7375 0.7375 0.5000
Au 0.0000 0.0000 0.0000
Au 0.3333 0.6667 0.5000
Au 0.6667 0.3333 0.5000
! Crystal system: hexagonal
! Electronic total energy (eV per atom): -44.481

***

! K2BaFe, single point on PBEsol structure, DFT meta-GGA SCAN; values from VASP
&SYSTEM
  ibrav = 0, nat = 4, ntyp = 3
/
ATOMIC_SPECIES
K 39.10 K.upf
Ba 137.33 Ba.upf
Fe 55.84 Fe.upf
CELL_PARAMETERS angstrom
3.9645 0.0000 0.0000
0.0000 3.9645 0.0000
0.0000 0.0000 11.4592
ATOMIC_POSITIONS crystal
K 0.0000 0.0000 0.0000
K 0.5000 0.5000 0.3370
Ba 0.5000 0.5000 0.6795
Fe 0.0000 0.0000 0.5307
! Crystal system: tetragonal
! Electronic total energy (eV per atom): -18.032
! ΔE to the lowest computed polymorph (eV per atom): 0.000

***

! ZnHg2Sb, single point on PBEsol structure, DFT meta-GGA SCAN; values from VASP
&SYSTEM
  ibrav = 0, nat = 4, ntyp = 3
/
ATOMIC_SPECIES
Zn 65.41 Zn.upf
Hg 200.59 Hg.upf
Sb 121.76 Sb.upf
CELL_PARAMETERS angstrom
4.0090 0.0000 0.0000
0.0000 4.1169 0.0000
-0.4926 0.0000 5.7413
ATOMIC_POSITIONS crystal
Zn 0.0000 0.0000 0.0000
Hg 0.0000 0.0000 0.5000
Hg 0.5000 0.5000 0.5000
Sb 0.5000 0.5000 0.0000
! Formation energy from raw total energies (eV per atom): 0.09
! Crystal system: monoclinic
! Electronic total energy (eV per atom): -46.684
! ΔE to the lowest computed polymorph (eV per atom): 0.007

***

! Cd3ReS, single point on PBEsol structure, DFT meta-GGA SCAN; values from VASP
&SYSTEM
  ibrav = 0, nat = 5, ntyp = 3
/
ATOMIC_SPECIES
Cd 112.41 Cd.upf
Re 186.21 Re.upf
S 32.06 S.upf
CELL_PARAMETERS angstrom
4.8626 0.0000 0.0000
0.0000 4.8626 0.0000
0.0000 0.0000 4.8626
ATOMIC_POSITIONS crystal
Cd 0.0000 0.0000 0.5000
Cd 0.0000 0.5000 0.0000
Cd 0.5000 0.0000 0.0000
Re 0.5000 0.5000 0.5000
S 0.0000 0.0000 0.0000
! Formation energy from raw total energies (eV per atom): 1.42
! Crystal system: cubic
! Electronic total energy (eV per atom): -32.970

***

! SmCoSi2, single point on PBEsol structure, DFT meta-GGA SCAN; values from VASP
&SYSTEM
  ibrav = 0, nat = 8, ntyp = 3
/
ATOMIC_SPECIES
Sm 150.36 Sm.upf
Co 58.93 Co.upf
Si 28.09 Si.upf
CELL_PARAMETERS angstrom
2.0271 -8.0715 0.0000
2.0271 8.0715 0.0000
0.0000 0.0000 3.9904
ATOMIC_POSITIONS crystal
Sm 0.1075 0.8925 0.7500
Sm 0.8925 0.1075 0.2500
Co 0.3193 0.6807 0.7500
Co 0.6807 0.3193 0.2500
Si 0.2497 0.7503 0.2500
Si 0.4565 0.5435 0.7500
Si 0.5435 0.4565 0.2500
Si 0.7503 0.2497 0.7500
! Formation energy from raw total energies (eV per atom): -0.74
! Crystal system: orthorhombic
! Electronic total energy (eV per atom): -21.188

***

! Na5InO4, single point on PBEsol structure, DFT meta-GGA SCAN; values from VASP
&SYSTEM
  ibrav = 0, nat = 20, ntyp = 3
/
ATOMIC_SPECIES
Na 22.99 Na.upf
In 114.82 In.upf
O 16.00 O.upf
CELL_PARAMETERS angstrom
7.3532 0.0000 0.0000
0.0000 7.6164 0.0000
0.0000 0.0000 5.4770
ATOMIC_POSITIONS crystal
Na 0.0103 0.0560 0.2440
Na 0.0103 0.4440 0.2440
Na 0.2500 0.7500 0.3057
Na 0.4897 0.0560 0.2440
Na 0.4897 0.4440 0.2440
Na 0.5103 0.5560 0.7560
Na 0.5103 0.9440 0.7560
Na 0.7500 0.2500 0.6943
Na 0.9897 0.5560 0.7560
Na 0.9897 0.9440 0.7560
In 0.2500 0.2500 0.7197
In 0.7500 0.7500 0.2803
O 0.0115 0.2500 0.9214
O 0.2500 0.0168 0.5179
O 0.2500 0.4832 0.5179
O 0.4885 0.2500 0.9214
O 0.5115 0.7500 0.0786
O 0.7500 0.5168 0.4821
O 0.7500 0.9832 0.4821
O 0.9885 0.7500 0.0786
! Formation energy from raw total energies (eV per atom): -1.57
! Crystal system: orthorhombic
! Electronic total energy (eV per atom): -9.505
! ΔE to the lowest computed polymorph (eV per atom): 0.006

***

! KLiTeI2, single point on PBEsol structure, DFT meta-GGA SCAN; values from VASP
&SYSTEM
  ibrav = 0, nat = 5, ntyp = 4
/
ATOMIC_SPECIES
K 39.10 K.upf
Li 6.94 Li.upf
Te 127.60 Te.upf
I 126.90 I.upf
CELL_PARAMETERS angstrom
6.4020 0.0000 0.0000
0.0000 6.4020 0.0000
0.0000 0.0000 6.2171
ATOMIC_POSITIONS crystal
K 0.0000 0.0000 0.0000
Li 0.5000 0.5000 0.5000
Te 0.0000 0.0000 0.5000
I 0.0000 0.5000 0.0000
I 0.5000 0.0000 0.0000
! Formation energy from raw total energies (eV per atom): -0.25
! Crystal system: tetragonal
! Electronic total energy (eV per atom): -24.539

***

! Ge5P6O25, single point on PBEsol structure, DFT meta-GGA SCAN; values from VASP
&SYSTEM
  ibrav = 0, nat = 36, ntyp = 3
/
ATOMIC_SPECIES
Ge 72.64 Ge.upf
P 30.97 P.upf
O 16.00 O.upf
CELL_PARAMETERS angstrom
4.0147 2.3179 8.3568
-4.0147 2.3179 8.3568
0.0000 -4.6358 8.3568
ATOMIC_POSITIONS crystal
Ge 0.0000 0.0000 0.0000
Ge 0.1767 0.1767 0.1767
Ge 0.4321 0.4321 0.4321
Ge 0.5679 0.5679 0.5679
Ge 0.8233 0.8233 0.8233
P 0.0688 0.3803 0.8249
P 0.1751 0.9312 0.6197
P 0.3803 0.8249 0.0688
P 0.6197 0.1751 0.9312
P 0.8249 0.0688 0.3803
P 0.9312 0.6197 0.1751
O 0.0365 0.7383 0.1014
O 0.0891 0.7758 0.7351
O 0.0952 0.4333 0.1321
O 0.1014 0.0365 0.7383
O 0.1321 0.0952 0.4333
O 0.1896 0.4379 0.5914
O 0.2242 0.2649 0.9109
O 0.2617 0.8986 0.9635
O 0.2649 0.9109 0.2242
O 0.4086 0.8104 0.5621
O 0.4333 0.1321 0.0952
O 0.4379 0.5914 0.1896
O 0.5000 0.5000 0.5000
O 0.5621 0.4086 0.8104
O 0.5667 0.8679 0.9048
O 0.5914 0.1896 0.4379
O 0.7351 0.0891 0.7758
O 0.7383 0.1014 0.0365
O 0.7758 0.7351 0.0891
O 0.8104 0.5621 0.4086
O 0.8679 0.9048 0.5667
O 0.8986 0.9635 0.2617
O 0.9048 0.5667 0.8679
O 0.9109 0.2242 0.2649
O 0.9635 0.2617 0.8986
! Formation energy from raw total energies (eV per atom): -2.16
! Crystal system: trigonal
! Electronic total energy (eV per atom): -10.868

***

! LiTl2In, single point on PBEsol structure, DFT meta-GGA SCAN; values from VASP
&SYSTEM
  ibrav = 0, nat = 4, ntyp = 3
/
ATOMIC_SPECIES
Li 6.94 Li.upf
Tl 204.38 Tl.upf
In 114.82 In.upf
CELL_PARAMETERS angstrom
5.2833 -1.7261 0.0000
5.2833 1.7261 0.0000
-1.0491 0.0000 5.3427
ATOMIC_POSITIONS crystal
Li 0.0000 0.0000 0.0000
Tl 0.2559 0.2559 0.7791
Tl 0.4942 0.4942 0.4949
In 0.7382 0.7382 0.2537
! Crystal system: monoclinic
! Electronic total energy (eV per atom): -45.227

***

! LiSi2Au, single point on PBEsol structure, DFT meta-GGA SCAN; values from VASP
&SYSTEM
  ibrav = 0, nat = 4, ntyp = 3
/
ATOMIC_SPECIES
Li 6.94 Li.upf
Si 28.09 Si.upf
Au 196.97 Au.upf
CELL_PARAMETERS angstrom
2.5983 -4.1722 0.0000
2.5983 4.1722 0.0000
0.0000 0.0000 2.7429
ATOMIC_POSITIONS crystal
Li 0.0000 0.0000 0.0000
Si 0.0000 0.5000 0.5000
Si 0.5000 0.0000 0.5000
Au 0.5000 0.5000 0.0000
! Formation energy from raw total energies (eV per atom): 0.04
! Crystal system: orthorhombic
! Electronic total energy (eV per atom): -22.851
! ΔE to the lowest computed polymorph (eV per atom): 0.095

***

! Y2MnRh, single point on PBEsol structure, DFT meta-GGA SCAN; values from VASP
&SYSTEM
  ibrav = 0, nat = 4, ntyp = 3
/
ATOMIC_SPECIES
Y 88.91 Y.upf
Mn 54.94 Mn.upf
Rh 102.91 Rh.upf
CELL_PARAMETERS angstrom
3.2980 0.0000 0.0000
0.0000 3.2980 0.0000
0.0000 0.0000 7.8337
ATOMIC_POSITIONS crystal
Y 0.0000 0.0000 0.0000
Y 0.5000 0.5000 0.3755
Mn 0.0000 0.0000 0.6197
Rh 0.5000 0.5000 0.7851
! Crystal system: tetragonal
! Electronic total energy (eV per atom): -27.259

***

! NdAl2Au2, single point on PBEsol structure, DFT meta-GGA SCAN; values from VASP
&SYSTEM
  ibrav = 0, nat = 10, ntyp = 3
/
ATOMIC_SPECIES
Nd 144.24 Nd.upf
Al 26.98 Al.upf
Au 196.97 Au.upf
CELL_PARAMETERS angstrom
4.3723 0.0000 0.0000
0.0000 4.3723 0.0000
0.0000 0.0000 10.3263
ATOMIC_POSITIONS crystal
Nd 0.2500 0.2500 0.2485
Nd 0.7500 0.7500 0.7515
Al 0.2500 0.2500 0.8693
Al 0.2500 0.7500 0.5000
Al 0.7500 0.2500 0.5000
Al 0.7500 0.7500 0.1307
Au 0.2500 0.2500 0.6296
Au 0.2500 0.7500 0.0000
Au 0.7500 0.2500 0.0000
Au 0.7500 0.7500 0.3704
! Crystal system: tetragonal
! Electronic total energy (eV per atom): -40.512

***

! Ca2CoAs, single point on PBEsol structure, DFT meta-GGA SCAN; values from VASP
&SYSTEM
  ibrav = 0, nat = 4, ntyp = 3
/
ATOMIC_SPECIES
Ca 40.08 Ca.upf
Co 58.93 Co.upf
As 74.92 As.upf
CELL_PARAMETERS angstrom
4.5937 0.0000 0.0000
0.0000 4.5937 0.0000
0.0000 0.0000 3.8747
ATOMIC_POSITIONS crystal
Ca 0.0000 0.5000 0.0000
Ca 0.5000 0.0000 0.0000
Co 0.0000 0.0000 0.5000
As 0.5000 0.5000 0.5000
! Crystal system: tetragonal
! Electronic total energy (eV per atom): -14.675

***

! Be2FeTc2, single point on PBEsol structure, DFT meta-GGA SCAN; values from VASP
&SYSTEM
  ibrav = 0, nat = 10, ntyp = 3
/
ATOMIC_SPECIES
Be 9.01 Be.upf
Fe 55.84 Fe.upf
Tc 98.00 Tc.upf
CELL_PARAMETERS angstrom
5.8320 0.0000 0.0000
0.0000 5.8320 0.0000
0.0000 0.0000 3.1052
ATOMIC_POSITIONS crystal
Be 0.1220 0.3780 0.0000
Be 0.3780 0.8780 0.0000
Be 0.6220 0.1220 0.0000
Be 0.8780 0.6220 0.0000
Fe 0.0000 0.0000 0.0000
Fe 0.5000 0.5000 0.0000
Tc 0.1776 0.6776 0.5000
Tc 0.3224 0.1776 0.5000
Tc 0.6776 0.8224 0.5000
Tc 0.8224 0.3224 0.5000
! Crystal system: tetragonal
! Electronic total energy (eV per atom): -19.687

***

! ZnCo6Ir, single point on PBEsol structure, DFT meta-GGA SCAN; values from VASP
&SYSTEM
  ibrav = 0, nat = 32, ntyp = 3
/
ATOMIC_SPECIES
Zn 65.41 Zn.upf
Co 58.93 Co.upf
Ir 192.22 Ir.upf
CELL_PARAMETERS angstrom
3.5358 -5.0082 0.0000
3.5358 5.0082 0.0000
0.0000 0.0000 10.0057
ATOMIC_POSITIONS crystal
Zn 0.0000 0.0000 0.2496
Zn 0.0000 0.0000 0.7504
Zn 0.2507 0.7493 0.0000
Zn 0.7493 0.2507 0.0000
Co 0.0000 0.0000 0.0000
Co 0.0000 0.0000 0.5000
Co 0.1236 0.3742 0.1243
Co 0.1236 0.3742 0.8757
Co 0.1250 0.3754 0.3748
Co 0.1250 0.3754 0.6252
Co 0.2496 0.7504 0.2498
Co 0.2496 0.7504 0.7502
Co 0.3742 0.1236 0.1243
Co 0.3742 0.1236 0.8757
Co 0.3754 0.1250 0.3748
Co 0.3754 0.1250 0.6252
Co 0.5000 0.5000 0.0000
Co 0.5000 0.5000 0.5000
Co 0.6246 0.8750 0.3748
Co 0.6246 0.8750 0.6252
Co 0.6258 0.8764 0.1243
Co 0.6258 0.8764 0.8757
Co 0.7504 0.2496 0.2498
Co 0.7504 0.2496 0.7502
Co 0.8750 0.6246 0.3748
Co 0.8750 0.6246 0.6252
Co 0.8764 0.6258 0.1243
Co 0.8764 0.6258 0.8757
Ir 0.2493 0.7507 0.5000
Ir 0.5000 0.5000 0.2467
Ir 0.5000 0.5000 0.7533
Ir 0.7507 0.2493 0.5000
! Crystal system: orthorhombic
! Electronic total energy (eV per atom): -23.533

***

! TlPb3W, single point on PBEsol structure, DFT meta-GGA SCAN; values from VASP
&SYSTEM
  ibrav = 0, nat = 5, ntyp = 3
/
ATOMIC_SPECIES
Tl 204.38 Tl.upf
Pb 207.20 Pb.upf
W 183.84 W.upf
CELL_PARAMETERS angstrom
5.6164 0.0000 0.0000
0.0000 5.6164 0.0000
0.0000 0.0000 5.6164
ATOMIC_POSITIONS crystal
Tl 0.0000 0.0000 0.0000
Pb 0.0000 0.0000 0.5000
Pb 0.0000 0.5000 0.0000
Pb 0.5000 0.0000 0.0000
W 0.5000 0.5000 0.5000
! Crystal system: cubic
! Electronic total energy (eV per atom): -72.054

***

Number 1: magnetization 2.1 μB/cell. Number 2: magnetization 4.1 μB/cell. Number 3: magnetization 0.0 μB/cell. Number 4: magnetization 0.0 μB/cell. Number 5: magnetization 0.0 μB/cell. Number 6: magnetization 3.7 μB/cell. Number 7: magnetization 0.0 μB/cell. Number 8: magnetization 3.0 μB/cell. Number 9: magnetization 0.0 μB/cell. Number 10: magnetization 0.0 μB/cell. Number 11: magnetization 2.0 μB/cell. Number 12: magnetization 0.0 μB/cell. Number 13: magnetization 0.0 μB/cell. Number 14: magnetization 0.0 μB/cell. Number 15: magnetization 4.4 μB/cell. Number 16: magnetization 0.0 μB/cell. Number 17: magnetization 1.9 μB/cell. Number 18: magnetization 5.5 μB/cell. Number 19: magnetization 45.8 μB/cell. Number 20: magnetization 4.6 μB/cell.